[1]
The following is a PBE-GGA calculation of a geometry-optimized CuAg2Te structure, from the Alexandria database.

Cell: 4.8228 4.8228 4.8228 Å, 60.00 60.00 60.00°
Atoms (fractional coordinates):
Cu (0.0000, 0.0000, 0.0000)
Ag (0.2500, 0.2500, 0.2500)
Ag (0.7500, 0.7500, 0.7500)
Te (0.5000, 0.5000, 0.5000)

Values from the calculation:
raw formation energy = 25.08 kJ/mol of atoms
magnetization = 0.00 Bohr magnetons per cell
distance to the lowest polymorph of the same formula = 0.151 eV per atom
E = -11.90 eV/cell
ρ = 8.52 g cm⁻³



[2]
The following is a PBE-GGA calculation of a geometry-optimized Tb2MgFe structure, from the Alexandria database.

Cell: 10.5715 10.5715 10.5715 Å, 18.79 18.79 18.79°
Atoms (fractional coordinates):
Tb (0.1075, 0.1075, 0.1075)
Tb (0.8925, 0.8925, 0.8925)
Mg (0.0000, 0.0000, 0.0000)
Fe (0.5000, 0.5000, 0.5000)

Values from the calculation:
calculated formation energy = 1.34 eV/f.u.
magnetization = 1.18 Bohr magnetons per cell
E = -17.98 eV/cell
ρ = 6.17 g cm⁻³



[3]
The following is a PBE-GGA calculation of a geometry-optimized SrTl2Sn2Hg2 structure, from the Alexandria database.

Cell: 8.5773 8.5773 8.5773 Å, 36.57 36.57 36.57°
Atoms (fractional coordinates):
Sr (0.0000, 0.0000, 0.0000)
Tl (0.1441, 0.1441, 0.1441)
Tl (0.8559, 0.8559, 0.8559)
Sn (0.4288, 0.4288, 0.4288)
Sn (0.5712, 0.5712, 0.5712)
Hg (0.2786, 0.2786, 0.2786)
Hg (0.7214, 0.7214, 0.7214)

Values from the calculation:
calculated formation energy = -1.40 eV/f.u.
magnetization = 0.00 Bohr magnetons per cell
E = -16.42 eV/cell
ρ = 9.40 g cm⁻³



[4]
The following is a PBE-GGA calculation of a geometry-optimized Cs4NdHo3Te8 structure, from the Alexandria database.

Cell: 10.3725 10.3725 10.3725 Å, 52.34 52.34 52.34°
Atoms (fractional coordinates):
Cs (0.0000, 0.0000, 0.0000)
Cs (0.0000, 0.5000, 0.5000)
Cs (0.5000, 0.0000, 0.5000)
Cs (0.5000, 0.5000, 0.0000)
Nd (0.5000, 0.5000, 0.5000)
Ho (0.0000, 0.0000, 0.5000)
Ho (0.0000, 0.5000, 0.0000)
Ho (0.5000, 0.0000, 0.0000)
Te (0.2228, 0.7341, 0.7341)
Te (0.2293, 0.2293, 0.2293)
Te (0.2659, 0.2659, 0.7772)
Te (0.2659, 0.7772, 0.2659)
Te (0.7341, 0.2228, 0.7341)
Te (0.7341, 0.7341, 0.2228)
Te (0.7707, 0.7707, 0.7707)
Te (0.7772, 0.2659, 0.2659)

Values from the calculation:
raw formation energy = -133.60 kJ/mol of atoms
magnetization = 0.00 Bohr magnetons per cell
E = -69.20 eV/cell
ρ = 5.62 g cm⁻³



[5]
The following is a PBE-GGA calculation of a geometry-optimized Ti2AlHPd structure, from the Alexandria database.

Cell: 3.9702 3.9702 4.1340 Å, 90.00 90.00 90.00°
Atoms (fractional coordinates):
Ti (0.0000, 0.5000, 0.0000)
Ti (0.5000, 0.0000, 0.0000)
Al (0.0000, 0.0000, 0.5000)
H (0.5000, 0.5000, 0.0000)
Pd (0.5000, 0.5000, 0.5000)

Values from the calculation:
magnetization = 0.00 Bohr magnetons per cell
distance to the lowest polymorph of the same formula = 0.000 eV per atom
E = -30.44 eV/cell
ρ = 5.86 g cm⁻³



[6]
The following is a PBE-GGA calculation of a geometry-optimized Pm3CdPd12 structure, from the Alexandria database.

Cell: 4.1526 4.1526 16.5553 Å, 90.00 90.00 90.00°
Atoms (fractional coordinates):
Pm (0.0000, 0.0000, 0.0000)
Pm (0.0000, 0.0000, 0.2558)
Pm (0.0000, 0.0000, 0.7442)
Cd (0.0000, 0.0000, 0.5000)
Pd (0.0000, 0.5000, 0.1270)
Pd (0.0000, 0.5000, 0.3817)
Pd (0.0000, 0.5000, 0.6183)
Pd (0.0000, 0.5000, 0.8730)
Pd (0.5000, 0.0000, 0.1270)
Pd (0.5000, 0.0000, 0.3817)
Pd (0.5000, 0.0000, 0.6183)
Pd (0.5000, 0.0000, 0.8730)
Pd (0.5000, 0.5000, 0.0000)
Pd (0.5000, 0.5000, 0.2535)
Pd (0.5000, 0.5000, 0.5000)
Pd (0.5000, 0.5000, 0.7465)

Values from the calculation:
calculated formation energy = -10.35 eV/f.u.
magnetization = 0.00 Bohr magnetons per cell
E = -87.83 eV/cell
ρ = 10.61 g cm⁻³